No. 1
Crystalline NaSi2PtRh at its relaxed geometry. Source: the Alexandria database, functional PBE.

Output
For the final energy, the calculation gives -5.761 eV/atom. The spin magnetization comes out at 0.00 μB per formula unit. The volume is 16.75 Å³ per atom. Its density of states at the Fermi level is 0.332 states/eV per atom.

```
NaSi2PtRh
1.0
-2.0408 2.0408 5.0268
2.0408 -2.0408 5.0268
2.0408 2.0408 -5.0268
Na Si Pt Rh
1 2 1 1
Direct
0.0000 0.0000 0.0000
0.3790 0.3790 0.0000
0.6210 0.6210 0.0000
0.2500 0.7500 0.5000
0.7500 0.2500 0.5000
```

No. 2
Crystalline Ho5PuBi4 at its relaxed geometry. Source: the Alexandria database, functional PBE.

Output
For the final energy, the calculation gives -5.717 eV/atom. The spin magnetization comes out at 7.88 μB per formula unit. The formation energy comes out at -427 kJ/mol of formula units. The volume is 33.32 Å³ per atom. Its density of states at the Fermi level is 2.014 states/eV per atom.

```
Ho5PuBi4
1.0
9.9012 -2.2100 0.0000
9.9012 2.2100 0.0000
-1.6096 0.0000 7.6148
Ho Pu Bi
5 1 4
Direct
0.0000 0.0000 0.0000
0.3056 0.3056 0.8865
0.3117 0.3117 0.4139
0.6883 0.6883 0.5861
0.6944 0.6944 0.1135
0.0000 0.0000 0.5000
0.1380 0.1380 0.8297
0.4378 0.4378 0.7246
0.5622 0.5622 0.2754
0.8620 0.8620 0.1703
```

No. 3
Crystalline Cu2PtCl8 at its relaxed geometry. Source: the Alexandria database, functional PBE.

Output
For the final energy, the calculation gives -3.013 eV/atom. The spin magnetization comes out at 2.07 μB per formula unit. The volume is 27.92 Å³ per atom. Its density of states at the Fermi level is 0.981 states/eV per atom.

```
Cu2PtCl8
1.0
6.6559 -3.8273 0.0000
6.6559 3.8273 0.0000
-0.2982 0.0000 6.0291
Cu Pt Cl
2 1 8
Direct
0.1708 0.1708 0.1023
0.8292 0.8292 0.8977
0.0000 0.0000 0.5000
0.1374 0.7189 0.7295
0.1532 0.1532 0.7202
0.2811 0.8626 0.2705
0.3319 0.3319 0.1102
0.6681 0.6681 0.8898
0.7189 0.1374 0.7295
0.8468 0.8468 0.2798
0.8626 0.2811 0.2705
```

No. 4
Crystalline Zr3Tc2Os at its relaxed geometry. Source: the Alexandria database, functional PBE.

Output
For the final energy, the calculation gives -10.020 eV/atom. The spin magnetization comes out at 0.00 μB per formula unit. The formation energy comes out at -243 kJ/mol of formula units. The volume is 17.81 Å³ per atom. Its density of states at the Fermi level is 0.958 states/eV per atom.

```
Zr3Tc2Os
1.0
3.2831 0.0000 0.0000
0.0000 3.2831 0.0000
0.0000 0.0000 9.9157
Zr Tc Os
3 2 1
Direct
0.0000 0.0000 0.0000
0.0000 0.0000 0.3327
0.0000 0.0000 0.6673
0.5000 0.5000 0.1667
0.5000 0.5000 0.8333
0.5000 0.5000 0.5000
```

No. 5
Crystalline CaNbZn at its relaxed geometry. Source: the Alexandria database, functional PBE.

Output
For the final energy, the calculation gives -4.261 eV/atom. The spin magnetization comes out at 0.00 μB per formula unit. The formation energy comes out at 54 kJ/mol of formula units. The volume is 22.27 Å³ per atom. Its density of states at the Fermi level is 0.562 states/eV per atom.

```
CaNbZn
1.0
6.1613 -1.6795 0.0000
6.1613 1.6795 0.0000
-2.4792 0.0000 6.4578
Ca Nb Zn
2 2 2
Direct
0.0000 0.0000 0.0000
0.0000 0.0000 0.5000
0.2949 0.2949 0.6476
0.7051 0.7051 0.3524
0.3145 0.3145 0.1404
0.6855 0.6855 0.8596
```